(1)
Compound: Zr3W
Source: Alexandria
Functional: GGA-PBE
Structure: optimized geometry

a b c (Å): 4.385 4.385 4.385
angles (deg): 90.00 90.00 90.00
Fractional coordinates of all 4 atoms:
Zr 0.000 0.500 0.500
Zr 0.500 0.500 0.000
W 0.000 0.000 0.000
Zr 0.500 0.000 0.500


(2)
Compound: HfMn2VC
Source: Alexandria
Functional: GGA-PBE
Structure: optimized geometry

a b c (Å): 3.902 4.088 3.902
angles (deg): 90.00 90.00 90.00
Fractional coordinates of all 5 atoms:
C 0.000 0.000 0.000
Mn 0.500 0.000 0.000
Mn 0.000 0.000 0.500
Hf 0.500 0.500 0.500
V 0.000 0.500 0.000


no.,magnetization (Bohr magnetons per cell),ρ (g/cm³),energy relative to the elements (eV/atom)
1,0.00,9.0,0.297
2,2.38,9.4,-0.143